Compound: Cs2Co3F8
Source: Alexandria
Functional: PBE+U
Structure: optimized geometry

Crystal system: monoclinic
Calculated total energy, eV/atom: -4.7906
Density of states at the Fermi level, states/eV/f.u.: 0.00
V, Å³/f.u.: 239
Magnetization, μB per cell: 9.0

abc: 5.580 6.491 7.698
angles: 114.93 107.06 90.00
Fractional positions:
Cs  0.685  0.722  0.445
Cs  0.315  0.278  0.555
Co  0.500  0.000  0.000
Co  0.000  0.256  0.000
Co  0.000  0.744  0.000
F  0.013  0.407  0.814
F  0.987  0.593  0.186
F  0.102  0.918  0.835
F  0.898  0.082  0.165
F  0.372  0.865  0.158
F  0.372  0.293  0.158
F  0.628  0.707  0.842
F  0.628  0.135  0.842